[1]
First-principles (SCAN) data for a crystal of SrCd2Se relaxed with PBEsol, as listed in Alexandria via LeMat-Bulk.

```
SrCd2Se
1.0
-2.287 0.281 3.517
1.227 -3.878 1.064
5.475 4.193 0.735
Cd Sr Se
2 1 1
direct
0.000 0.000 0.500 Cd
0.500 0.500 0.500 Cd
0.000 0.000 0.000 Sr
0.500 0.500 0.000 Se
```

Calculated values
The total energy is -0.9782 hartree per atom. The total magnetic moment comes out at 0.00 μB/f.u. The energy relative to the elements, uncorrected comes out at -0.823 eV per atom. As for the symmetry: Fmmm.



[2]
First-principles (SCAN) data for a crystal of SrCdSe3 relaxed with PBEsol, as listed in Alexandria via LeMat-Bulk.

```
SrCdSe3
1.0
-2.159 5.135 -1.032
-2.222 0.113 5.209
4.742 2.390 1.971
Cd Se Sr
1 3 1
direct
0.500 0.500 0.500 Cd
0.500 0.000 0.000 Se
0.000 0.500 0.000 Se
0.000 0.000 0.500 Se
0.000 0.000 0.000 Sr
```

Calculated values
The total energy is -0.8269 hartree per atom. The total magnetic moment comes out at 3.92 μB/f.u. The energy relative to the elements, uncorrected comes out at 0.083 eV per atom. As for the symmetry: Pm-3m.



[3]
First-principles (SCAN) data for a crystal of SrCdSe2 relaxed with PBEsol, as listed in Alexandria via LeMat-Bulk.

```
SrCdSe2
1.0
-3.597 1.900 0.759
0.241 -1.131 3.974
4.551 4.560 -1.133
Se Cd Sr
2 1 1
direct
0.000 0.000 0.000 Se
0.750 0.250 0.500 Se
0.250 0.750 0.500 Cd
0.500 0.500 0.000 Sr
```

Calculated values
The total energy is -0.8905 hartree per atom. The total magnetic moment comes out at 0.00 μB/f.u. The energy relative to the elements, uncorrected comes out at -1.021 eV per atom. As for the symmetry: I-4m2.



[4]
First-principles (SCAN) data for a crystal of SrTaCd2Se relaxed with PBEsol, as listed in Alexandria via LeMat-Bulk.

```
SrTaCd2Se
1.0
4.823 0.000 0.000
0.000 5.355 0.000
0.000 0.000 5.355
Cd Se Sr Ta
2 1 1 1
direct
0.000 0.000 0.500 Cd
0.000 0.500 0.000 Cd
0.000 0.000 0.000 Se
0.500 0.500 0.500 Sr
0.500 0.000 0.000 Ta
```

Calculated values
The total energy is -1.2276 hartree per atom. The total magnetic moment comes out at 1.84 μB/f.u. The energy relative to the elements, uncorrected comes out at 0.548 eV per atom. As for the symmetry: P4/mmm.